No. 1
A relaxed structure of SrCuIO2, computed with GGA-PBE.

abc: 4.3425 4.3425 4.9779
angles: 90.00 90.00 90.00
With the nearest neighbours (Å) after each atom.
Fractional positions:
I 0.0000 0.0000 0.5000  2 Cu 2.49
Sr 0.5000 0.5000 0.5000  4 I 3.07, 8 O 3.30
O 0.0000 0.5000 0.0000  2 Cu 2.17
O 0.5000 0.0000 0.0000  2 Cu 2.17
Cu 0.0000 0.0000 0.0000  4 O 2.17

Output
The value obtained for the volume is 18.77 Å³ per atom. For the energy above the lowest structure with this stoichiometry, the calculation gives 0.000 eV per atom. The energy relative to the elements, uncorrected is -0.61 eV per atom. Its density of states at the Fermi level is 3.9 states/eV/f.u.

No. 2
A relaxed structure of TmInIr, computed with GGA-PBE.

abc: 4.6412 4.6412 4.6412
angles: 60.00 60.00 60.00
With the nearest neighbours (Å) after each atom.
Fractional positions:
Ir 0.2500 0.2500 0.2500  4 In 2.84, 4 Tm 2.84
Tm 0.0000 0.0000 0.0000  4 Ir 2.84
In 0.5000 0.5000 0.5000  4 Ir 2.84

Output
Its formation energy is -0.60 eV per atom. The value obtained for the volume is 23.56 Å³ per atom. Its density of states at the Fermi level is 1.1 states/eV/f.u.

No. 3
A relaxed structure of LiTc2Br, computed with GGA-PBE.

abc: 3.4783 3.4810 7.7470
angles: 90.00 90.00 90.00
With the nearest neighbours (Å) after each atom.
Fractional positions:
Br 0.5000 0.0000 0.5000  4 Li 2.46
Li 0.0000 0.5000 0.5000  4 Br 2.46
Tc 0.0000 0.0000 0.0000  4 Tc 2.46
Tc 0.5000 0.5000 0.0000  4 Tc 2.46

Output
The value obtained for the volume is 23.45 Å³ per atom. For the energy above the lowest structure with this stoichiometry, the calculation gives 0.412 eV per atom. The energy relative to the elements, uncorrected is 0.45 eV per atom. Its density of states at the Fermi level is 2.4 states/eV/f.u.

No. 4
A relaxed structure of Ni2HgPt, computed with GGA-PBE.

abc: 3.5686 2.8062 6.4954
angles: 64.14 90.00 90.00
With the nearest neighbours (Å) after each atom.
Fractional positions:
Hg 0.5000 0.7500 0.7500  8 Ni 2.78-2.80, 2 Hg 2.81, 2 Pt 2.92
Ni 0.0000 0.9739 0.0275  3 Ni 2.60-2.81, 4 Pt 2.61-2.62, 4 Hg 2.78-2.80
Ni 0.0000 0.5261 0.4725  3 Ni 2.60-2.81, 4 Pt 2.61-2.62, 4 Hg 2.78-2.80
Pt 0.5000 0.2500 0.2500  8 Ni 2.61-2.62, 2 Pt 2.81, 2 Hg 2.92

Output
Its formation energy is 0.09 eV per atom. The value obtained for the volume is 14.63 Å³ per atom. Its density of states at the Fermi level is 6.1 states/eV/f.u.

Repeat the first record exactly.
A relaxed structure of SrCuIO2, computed with GGA-PBE.

abc: 4.3425 4.3425 4.9779
angles: 90.00 90.00 90.00
With the nearest neighbours (Å) after each atom.
Fractional positions:
I 0.0000 0.0000 0.5000  2 Cu 2.49
Sr 0.5000 0.5000 0.5000  4 I 3.07, 8 O 3.30
O 0.0000 0.5000 0.0000  2 Cu 2.17
O 0.5000 0.0000 0.0000  2 Cu 2.17
Cu 0.0000 0.0000 0.0000  4 O 2.17

Output
The value obtained for the volume is 18.77 Å³ per atom. For the energy above the lowest structure with this stoichiometry, the calculation gives 0.000 eV per atom. The energy relative to the elements, uncorrected is -0.61 eV per atom. Its density of states at the Fermi level is 3.9 states/eV/f.u.

- volume of number 1 (SrCuIO2)?
  18.77 Å³ per atom